# TaFeCoAs (PBE, optimized geometry)
data_TaFeCoAs
_cell_length_a 4.259
_cell_length_b 4.259
_cell_length_c 4.259
_cell_angle_alpha 60.00
_cell_angle_beta 60.00
_cell_angle_gamma 60.00
_symmetry_space_group_name_H-M 'P 1'
_symmetry_Int_Tables_number 1
_symmetry_space_group_name_Hall 'P 1'
loop_
_atom_site_label
_atom_site_type_symbol
_atom_site_fract_x
_atom_site_fract_y
_atom_site_fract_z
Co1 Co 0.500 0.500 0.500
As1 As 0.000 0.000 0.000
Fe1 Fe 0.750 0.750 0.750
Ta1 Ta 0.250 0.250 0.250
# Polymorph energy (0 for the lowest one) (eV/f.u.): 0.393
# Mass density (kg/m3): 11270